<1>
A plane-wave DFT calculation with PBE was carried out for crystalline As3C4 at its relaxed geometry.

a b c (Å): 4.295 4.295 4.295
angles (deg): 90.00 90.00 90.00
Element x y z (fractional)
As 0.000 0.500 0.000
As 0.000 0.000 0.500
As 0.500 0.000 0.000
C 0.000 0.000 0.000
C 0.000 0.500 0.500
C 0.500 0.000 0.500
C 0.500 0.500 0.000

Summary:
As for the total magnetization: 0.79 μB/cell. Its symmetry is Pm-3m (221).

<2>
A plane-wave DFT calculation with PBE was carried out for crystalline As3C4 at its relaxed geometry.

a b c (Å): 6.095 6.095 2.755
angles (deg): 90.00 90.00 120.00
Element x y z (fractional)
As 0.000 0.500 0.000
As 0.500 0.500 0.000
As 0.500 0.000 0.000
C 0.000 0.000 0.258
C 0.000 0.000 0.742
C 0.667 0.333 0.500
C 0.333 0.667 0.500

Summary:
As for the total magnetization: 0.00 μB/cell. Its symmetry is P6/mmm (191).

<3>
A plane-wave DFT calculation with PBE was carried out for crystalline As3C4 at its relaxed geometry.

a b c (Å): 4.468 4.468 4.468
angles (deg): 90.00 90.00 90.00
Element x y z (fractional)
As 0.500 0.000 0.500
As 0.500 0.500 0.000
As 0.000 0.500 0.500
C 0.244 0.756 0.244
C 0.756 0.244 0.244
C 0.756 0.756 0.756
C 0.244 0.244 0.756

Summary:
As for the total magnetization: 0.91 μB/cell. Its symmetry is P-43m (215).

<4>
A plane-wave DFT calculation with PBE was carried out for crystalline As3C4 at its relaxed geometry.

a b c (Å): 9.212 9.212 9.212
angles (deg): 160.10 160.10 28.28
Element x y z (fractional)
As 0.000 0.000 0.000
As 0.688 0.688 0.000
As 0.312 0.312 0.000
C 0.802 0.802 0.000
C 0.198 0.198 0.000
C 0.538 0.538 0.000
C 0.462 0.462 0.000

Summary:
As for the total magnetization: 0.00 μB/cell. Its symmetry is I4/mmm (139).

Most stable to least stable: <3>, <2>, <4>, <1>

<1>
A plane-wave DFT calculation with PBE was carried out for crystalline As4C at its relaxed geometry.

a b c (Å): 5.117 5.117 5.117
angles (deg): 114.81 114.81 99.25
Element x y z (fractional)
As 0.750 0.250 0.500
As 0.250 0.750 0.500
As 0.276 0.276 0.000
As 0.724 0.724 0.000
C 0.000 0.000 0.000

Summary:
As for the total magnetization: 0.71 μB/cell. Its symmetry is I4/mmm (139).

<2>
A plane-wave DFT calculation with PBE was carried out for crystalline As4C at its relaxed geometry.

a b c (Å): 4.397 4.397 4.397
angles (deg): 90.00 90.00 90.00
Element x y z (fractional)
C 0.500 0.500 0.500
As 0.000 0.000 0.000
As 0.500 0.000 0.500
As 0.000 0.500 0.500
As 0.500 0.500 0.000

Summary:
As for the total magnetization: 0.00 μB/cell. Its symmetry is Pm-3m (221).

Most stable to least stable: <1>, <2>

<1>
A plane-wave DFT calculation with PBE was carried out for crystalline As4C at its relaxed geometry.

a b c (Å): 5.825 5.825 5.825
angles (deg): 93.67 93.67 150.67
Element x y z (fractional)
As 0.278 0.572 0.850
As 0.572 0.722 0.294
As 0.722 0.428 0.150
As 0.428 0.278 0.706
C 0.000 0.000 0.000

Summary:
As for the total magnetization: 0.00 μB/cell. Its symmetry is I4/m (87).

<2>
A plane-wave DFT calculation with PBE was carried out for crystalline As4C at its relaxed geometry.

a b c (Å): 3.686 3.686 11.012
angles (deg): 90.00 90.00 120.00
Element x y z (fractional)
As 0.667 0.333 0.076
As 0.333 0.667 0.924
As 0.667 0.333 0.437
As 0.333 0.667 0.563
C 0.000 0.000 0.000

Summary:
As for the total magnetization: 0.00 μB/cell. Its symmetry is P-3m1 (164).

Most stable to least stable: <2>, <1>

<1>
A plane-wave DFT calculation with PBE was carried out for crystalline As2C3 at its relaxed geometry.

a b c (Å): 3.105 3.105 6.947
angles (deg): 90.00 90.00 120.00
Element x y z (fractional)
As 0.667 0.333 0.218
As 0.333 0.667 0.782
C 0.000 0.000 0.000
C 0.667 0.333 0.661
C 0.333 0.667 0.339

Summary:
As for the total magnetization: 0.00 μB/cell. Its symmetry is P-3m1 (164).

<2>
A plane-wave DFT calculation with PBE was carried out for crystalline As2C3 at its relaxed geometry.

a b c (Å): 6.776 6.776 6.776
angles (deg): 26.63 26.63 26.63
Element x y z (fractional)
As 0.407 0.407 0.407
As 0.593 0.593 0.593
C 0.000 0.000 0.000
C 0.786 0.786 0.786
C 0.214 0.214 0.214

Summary:
As for the total magnetization: 0.00 μB/cell. Its symmetry is R-3m (166).

<3>
A plane-wave DFT calculation with PBE was carried out for crystalline As2C3 at its relaxed geometry.

a b c (Å): 6.653 6.231 5.800
angles (deg): 67.04 59.58 53.39
Element x y z (fractional)
As 0.209 0.688 0.469
As 0.634 0.469 0.688
As 0.562 0.041 0.616
As 0.781 0.616 0.041
C 0.931 0.416 0.332
C 0.321 0.332 0.416
C 0.834 0.319 0.929
C 0.918 0.929 0.319
C 0.905 0.095 0.095
C 0.155 0.345 0.345

Summary:
As for the total magnetization: 0.00 μB/cell. Its symmetry is Fdd2 (43).

Most stable to least stable: <3>, <2>, <1>

<1>
A plane-wave DFT calculation with PBE was carried out for crystalline CaAs2C2 at its relaxed geometry.

a b c (Å): 4.056 4.056 5.464
angles (deg): 68.22 68.22 90.00
Element x y z (fractional)
C 0.750 0.250 0.500
C 0.250 0.750 0.500
As 0.317 0.317 0.365
As 0.683 0.683 0.635
Ca 0.000 0.000 0.000

Summary:
As for the total magnetization: 0.00 μB/cell. Its symmetry is I4/mmm (139).

<2>
A plane-wave DFT calculation with PBE was carried out for crystalline CaAs2C2 at its relaxed geometry.

a b c (Å): 7.162 7.162 3.130
angles (deg): 90.00 90.00 90.00
Element x y z (fractional)
C 0.130 0.630 0.500
C 0.630 0.870 0.500
C 0.870 0.370 0.500
C 0.370 0.130 0.500
As 0.379 0.879 0.000
As 0.879 0.621 0.000
As 0.621 0.121 0.000
As 0.121 0.379 0.000
Ca 0.000 0.000 0.000
Ca 0.500 0.500 0.000

Summary:
As for the total magnetization: 0.00 μB/cell. Its symmetry is P4/mbm (127).

Most stable to least stable: <1>, <2>

<1>
A plane-wave DFT calculation with PBE was carried out for crystalline CdAsC3 at its relaxed geometry.

a b c (Å): 4.293 4.293 4.293
angles (deg): 90.00 90.00 90.00
Element x y z (fractional)
As 0.500 0.500 0.500
C 0.000 0.500 0.000
C 0.000 0.000 0.500
C 0.500 0.000 0.000
Cd 0.000 0.000 0.000

Summary:
As for the total magnetization: 1.34 μB/cell. Its symmetry is Pm-3m (221).

<2>
A plane-wave DFT calculation with PBE was carried out for crystalline CdAsC3 at its relaxed geometry.

a b c (Å): 3.992 3.992 3.992
angles (deg): 90.00 90.00 90.00
Element x y z (fractional)
As 0.000 0.000 0.000
C 0.000 0.500 0.000
C 0.000 0.000 0.500
C 0.500 0.000 0.000
Cd 0.500 0.500 0.500

Summary:
As for the total magnetization: 0.00 μB/cell. Its symmetry is Pm-3m (221).

Most stable to least stable: <2>, <1>